A relaxed structure of ReS2O. Source: the Alexandria database, functional GGA-PBE.

a = 6.8307 Å, b = 6.8307 Å, c = 6.8307 Å
α = 28.06°, β = 28.06°, γ = 28.06°
Atoms (fractional coordinates):
Re: 0.5000 0.5000 0.5000
S: 0.0922 0.0922 0.0922
S: 0.9078 0.9078 0.9078
O: 0.0000 0.0000 0.0000

Properties
* D(E_F): 4.23 states/eV/f.u.
* ΔE_f (raw): 0.16 eV per formula unit
* space group: R-3m